VASP calculation (PBE) on a geometry-optimized AlSi2Ni structure.

Properties
The density comes out at 4.47 g/cm3. Its formation energy from raw total energies is 0.026 eV/atom. For the raw total energy, the calculation gives -5.067 eV/atom. As for the space group: No. 119.

Unit cell a=4.624 b=4.624 c=4.624 alpha=132.49 beta=132.49 gamma=69.45
Atoms (fractional coordinates):
Ni 0.750 0.250 0.500
Si 0.000 0.000 0.000
Si 0.250 0.750 0.500
Al 0.500 0.500 0.000

---

VASP calculation (PBE) on a geometry-optimized Ce3AlTl3S8 structure.

Properties
The density comes out at 5.21 g/cm3. Its formation energy from raw total energies is -1.268 eV/atom. For the raw total energy, the calculation gives -5.379 eV/atom. As for the space group: No. 12.

Unit cell a=8.004 b=8.080 c=11.863 alpha=132.43 beta=90.00 gamma=119.69
Atoms (fractional coordinates):
Ce 0.500 0.000 0.500
Ce 0.500 0.500 0.500
Ce 0.000 0.500 0.500
Al 0.000 0.000 0.500
Tl 0.000 0.000 0.000
Tl 0.000 0.500 0.000
Tl 0.500 0.500 0.000
S 0.027 0.054 0.309
S 0.973 0.946 0.691
S 0.533 0.066 0.298
S 0.467 0.934 0.702
S 0.029 0.604 0.315
S 0.971 0.396 0.685
S 0.575 0.604 0.315
S 0.425 0.396 0.685

---

VASP calculation (PBE) on a geometry-optimized TmTiPd2 structure.

Properties
The density comes out at 9.26 g/cm3. The calculation puts the relative energy among the computed polymorphs at 0.08 eV/f.u. As for the formation energy from the elements: -0.649 eV/atom. For the raw total energy, the calculation gives -6.337 eV/atom. As for the space group: No. 166.

Unit cell a=4.480 b=4.480 c=5.130 alpha=64.11 beta=64.11 gamma=60.00
Atoms (fractional coordinates):
Tm 0.000 0.000 0.000
Pd 0.782 0.782 0.654
Pd 0.218 0.218 0.346
Ti 0.500 0.500 0.500

---

VASP calculation (PBE) on a geometry-optimized Sm3AlTl4Te8 structure.

Properties
The density comes out at 6.86 g/cm3. Its formation energy from raw total energies is -0.854 eV/atom. For the raw total energy, the calculation gives -4.135 eV/atom. As for the space group: No. 166.

Unit cell a=8.922 b=9.629 c=8.921 alpha=117.61 beta=120.00 gamma=90.00
Atoms (fractional coordinates):
Sm 0.500 0.500 0.000
Sm 0.500 0.500 0.500
Sm 0.000 0.500 0.500
Al 0.000 0.500 0.000
Tl 0.500 0.000 0.000
Tl 0.500 0.000 0.500
Tl 0.000 0.000 0.000
Tl 0.000 0.000 0.500
Te 0.223 0.706 0.982
Te 0.223 0.706 0.447
Te 0.260 0.279 0.519
Te 0.759 0.706 0.982
Te 0.241 0.294 0.018
Te 0.740 0.721 0.481
Te 0.777 0.294 0.553
Te 0.777 0.294 0.018

---

VASP calculation (PBE) on a geometry-optimized TePt2Br structure.

Properties
The density comes out at 9.66 g/cm3. Its formation energy from raw total energies is 0.158 eV/atom. The calculation puts the relative energy among the computed polymorphs at 1.50 eV/f.u. For the raw total energy, the calculation gives -4.066 eV/atom. As for the space group: No. 122.

Unit cell a=6.636 b=6.636 c=6.616 alpha=59.90 beta=59.90 gamma=90.00
Atoms (fractional coordinates):
Te 0.000 0.000 0.000
Te 0.750 0.250 0.500
Br 0.500 0.500 0.000
Br 0.250 0.750 0.500
Pt 0.643 0.125 0.250
Pt 0.107 0.625 0.250
Pt 0.375 0.357 0.750
Pt 0.875 0.893 0.750

---

VASP calculation (PBE) on a geometry-optimized ZnInAsI2 structure.

Properties
The density comes out at 4.22 g/cm3. Its formation energy from raw total energies is 0.481 eV/atom. For the raw total energy, the calculation gives -1.871 eV/atom. As for the space group: No. 123.

Unit cell a=6.162 b=5.277 c=6.162 alpha=90.00 beta=90.00 gamma=90.00
Atoms (fractional coordinates):
I 0.000 0.000 0.500
I 0.500 0.000 0.000
As 0.500 0.500 0.500
Zn 0.000 0.500 0.000
In 0.000 0.000 0.000

---

VASP calculation (PBE) on a geometry-optimized TcRuSe2 structure.

Properties
The density comes out at 9.51 g/cm3. Its formation energy from raw total energies is 0.165 eV/atom. The calculation puts the relative energy among the computed polymorphs at 0.97 eV/f.u. For the raw total energy, the calculation gives -6.488 eV/atom. As for the space group: No. 10.

Unit cell a=3.059 b=5.303 c=5.227 alpha=47.33 beta=90.00 gamma=90.00
Atoms (fractional coordinates):
Ru 0.000 0.000 0.500
Se 0.000 0.000 0.000
Se 0.500 0.500 0.000
Tc 0.500 0.500 0.500

---

VASP calculation (PBE) on a geometry-optimized BaHF2 structure.

Properties
The density comes out at 3.66 g/cm3. The calculation puts the relative energy among the computed polymorphs at 2.78 eV/f.u. For the raw total energy, the calculation gives -4.354 eV/atom. As for the space group: No. 166.

Unit cell a=6.413 b=6.413 c=6.413 alpha=35.63 beta=35.63 gamma=35.63
Atoms (fractional coordinates):
H 0.000 0.000 0.000
Ba 0.500 0.500 0.500
F 0.936 0.936 0.936
F 0.064 0.064 0.064

---

VASP calculation (PBE) on a geometry-optimized HfPdS3 structure.

Properties
The density comes out at 5.37 g/cm3. Its formation energy from raw total energies is -0.190 eV/atom. The calculation puts the relative energy among the computed polymorphs at 0.00 eV/f.u. For the raw total energy, the calculation gives -5.695 eV/atom. As for the space group: No. 221.

Unit cell a=4.903 b=4.903 c=4.903 alpha=90.00 beta=90.00 gamma=90.00
Atoms (fractional coordinates):
S 0.000 0.500 0.000
S 0.000 0.000 0.500
S 0.500 0.000 0.000
Hf 0.000 0.000 0.000
Pd 0.500 0.500 0.500

---

VASP calculation (PBE) on a geometry-optimized Ta2IrW structure.

Properties
The density comes out at 18.39 g/cm3. The calculation puts the relative energy among the computed polymorphs at 0.09 eV/f.u. As for the formation energy from the elements: -0.306 eV/atom. For the raw total energy, the calculation gives -11.686 eV/atom. As for the space group: No. 225.

Unit cell a=4.550 b=4.550 c=4.550 alpha=60.00 beta=60.00 gamma=60.00
Atoms (fractional coordinates):
Ir 0.500 0.500 0.500
W 0.000 0.000 0.000
Ta 0.250 0.250 0.250
Ta 0.750 0.750 0.750

---

VASP calculation (PBE) on a geometry-optimized Mn2TcAu structure.

Properties
The density comes out at 10.55 g/cm3. As for the formation energy from the elements: 0.623 eV/atom. For the raw total energy, the calculation gives -7.373 eV/atom. As for the space group: No. 122.

Unit cell a=6.837 b=6.837 c=5.550 alpha=51.98 beta=51.98 gamma=90.00
Atoms (fractional coordinates):
Mn 0.600 0.125 0.250
Mn 0.150 0.625 0.250
Mn 0.375 0.400 0.750
Mn 0.875 0.850 0.750
Au 0.000 0.000 0.000
Au 0.750 0.250 0.500
Tc 0.500 0.500 0.000
Tc 0.250 0.750 0.500

---

VASP calculation (PBE) on a geometry-optimized DyScSi2Pt5 structure.

Properties
The density comes out at 11.50 g/cm3. Its formation energy from raw total energies is -0.895 eV/atom. For the raw total energy, the calculation gives -6.671 eV/atom. As for the space group: No. 123.

Unit cell a=4.040 b=4.040 c=10.962 alpha=90.00 beta=90.00 gamma=90.00
Atoms (fractional coordinates):
Dy 0.000 0.000 0.500
Sc 0.000 0.000 0.000
Si 0.500 0.500 0.287
Si 0.500 0.500 0.713
Pt 0.000 0.500 0.175
Pt 0.500 0.000 0.175
Pt 0.000 0.500 0.825
Pt 0.500 0.000 0.825
Pt 0.500 0.500 0.500

---

VASP calculation (PBE) on a geometry-optimized PmYGeCl structure.

Properties
The density comes out at 4.71 g/cm3. Its formation energy from raw total energies is -0.966 eV/atom. The calculation puts the relative energy among the computed polymorphs at 0.16 eV/f.u. For the raw total energy, the calculation gives -5.385 eV/atom. As for the space group: No. 38.

Unit cell a=4.877 b=4.921 c=5.784 alpha=90.00 beta=90.00 gamma=119.71
Atoms (fractional coordinates):
Pm 0.169 0.337 0.500
Y 0.837 0.675 0.000
Ge 0.169 0.338 0.000
Cl 0.838 0.675 0.500

---

VASP calculation (PBE) on a geometry-optimized KCa2Co structure.

Properties
The density comes out at 2.19 g/cm3. The calculation puts the relative energy among the computed polymorphs at 1.94 eV/f.u. As for the formation energy from the elements: 0.777 eV/atom. For the raw total energy, the calculation gives -2.275 eV/atom. As for the space group: No. 12.

Unit cell a=6.679 b=6.588 c=3.708 alpha=77.16 beta=83.29 gamma=118.30
Atoms (fractional coordinates):
Ca 0.000 0.000 0.000
Ca 0.500 0.000 0.500
Co 0.000 0.500 0.500
K 0.500 0.500 0.000

---

VASP calculation (PBE) on a geometry-optimized YINF2 structure.

Properties
The density comes out at 4.99 g/cm3. Its formation energy from raw total energies is -0.708 eV/atom. The calculation puts the relative energy among the computed polymorphs at 4.57 eV/f.u. For the raw total energy, the calculation gives -4.724 eV/atom. As for the space group: No. 123.

Unit cell a=4.376 b=4.652 c=4.376 alpha=90.00 beta=90.00 gamma=90.00
Atoms (fractional coordinates):
I 0.500 0.500 0.500
Y 0.000 0.500 0.000
N 0.000 0.000 0.000
F 0.000 0.000 0.500
F 0.500 0.000 0.000

---

VASP calculation (PBE) on a geometry-optimized ScBeOs2 structure.

Properties
The density comes out at 12.69 g/cm3. As for the formation energy from the elements: 0.069 eV/atom. For the raw total energy, the calculation gives -8.060 eV/atom. As for the space group: No. 166.

Unit cell a=7.747 b=7.747 c=7.747 alpha=21.93 beta=21.93 gamma=21.93
Atoms (fractional coordinates):
Sc 0.250 0.250 0.250
Be 0.750 0.750 0.750
Os 0.013 0.013 0.013
Os 0.487 0.487 0.487

---

VASP calculation (PBE) on a geometry-optimized PrYHo2 structure.

Properties
The density comes out at 7.14 g/cm3. The calculation puts the relative energy among the computed polymorphs at 0.06 eV/f.u. As for the formation energy from the elements: 0.024 eV/atom. For the raw total energy, the calculation gives -5.076 eV/atom. As for the space group: No. 62.

Unit cell a=5.066 b=10.171 c=10.110 alpha=90.00 beta=90.00 gamma=90.00
Atoms (fractional coordinates):
Pr 0.750 0.873 0.500
Pr 0.250 0.627 0.000
Pr 0.250 0.127 0.500
Pr 0.750 0.373 0.000
Y 0.750 0.625 0.748
Y 0.250 0.875 0.248
Y 0.250 0.375 0.252
Y 0.750 0.125 0.752
Ho 0.750 0.377 0.500
Ho 0.250 0.123 0.000
Ho 0.250 0.623 0.500
Ho 0.750 0.877 0.000
Ho 0.750 0.625 0.252
Ho 0.250 0.875 0.752
Ho 0.250 0.375 0.748
Ho 0.750 0.125 0.248

---

VASP calculation (PBE) on a geometry-optimized TlCdInBi structure.

Properties
The density comes out at 9.18 g/cm3. As for the formation energy from the elements: 0.015 eV/atom. For the raw total energy, the calculation gives -2.460 eV/atom. As for the space group: No. 216.

Unit cell a=5.472 b=5.472 c=5.472 alpha=60.00 beta=60.00 gamma=60.00
Atoms (fractional coordinates):
Tl 0.000 0.000 0.000
Cd 0.750 0.750 0.750
Bi 0.500 0.500 0.500
In 0.250 0.250 0.250

---

VASP calculation (PBE) on a geometry-optimized Dy4AgOs structure.

Properties
The density comes out at 10.20 g/cm3. The calculation puts the relative energy among the computed polymorphs at 0.00 eV/f.u. As for the formation energy from the elements: -0.251 eV/atom. For the raw total energy, the calculation gives -5.666 eV/atom. As for the space group: No. 216.

Unit cell a=9.557 b=9.557 c=9.557 alpha=60.00 beta=60.00 gamma=60.00
Atoms (fractional coordinates):
Dy 0.402 0.402 0.402
Dy 0.795 0.402 0.402
Dy 0.402 0.795 0.402
Dy 0.402 0.402 0.795
Dy 0.559 0.559 0.941
Dy 0.941 0.941 0.559
Dy 0.559 0.941 0.559
Dy 0.941 0.559 0.941
Dy 0.941 0.559 0.559
Dy 0.559 0.941 0.941
Dy 0.191 0.191 0.809
Dy 0.809 0.809 0.191
Dy 0.191 0.809 0.191
Dy 0.809 0.191 0.809
Dy 0.809 0.191 0.191
Dy 0.191 0.809 0.809
Ag 0.168 0.168 0.168
Ag 0.495 0.168 0.168
Ag 0.168 0.495 0.168
Ag 0.168 0.168 0.495
Os 0.611 0.611 0.611
Os 0.168 0.611 0.611
Os 0.611 0.168 0.611
Os 0.611 0.611 0.168

---

VASP calculation (PBE) on a geometry-optimized Cr2OsN structure.

Properties
The density comes out at 9.30 g/cm3. Its formation energy from raw total energies is 0.308 eV/atom. For the raw total energy, the calculation gives -9.393 eV/atom. As for the space group: No. 122.

Unit cell a=5.004 b=5.004 c=5.644 alpha=63.69 beta=63.69 gamma=90.00
Atoms (fractional coordinates):
Cr 0.541 0.125 0.250
Cr 0.209 0.625 0.250
Cr 0.375 0.459 0.750
Cr 0.875 0.791 0.750
Os 0.000 0.000 0.000
Os 0.750 0.250 0.500
N 0.500 0.500 0.000
N 0.250 0.750 0.500

---

VASP calculation (PBE) on a geometry-optimized Pa2MnSe2N2 structure.

Properties
The density comes out at 9.20 g/cm3. Its formation energy from raw total energies is -1.332 eV/atom. For the raw total energy, the calculation gives -8.729 eV/atom. As for the space group: No. 12.

Unit cell a=3.830 b=5.790 c=6.616 alpha=69.01 beta=73.17 gamma=70.68
Atoms (fractional coordinates):
Pa 0.187 0.378 0.249
Pa 0.813 0.622 0.751
Mn 0.000 0.000 0.000
Se 0.566 0.203 0.665
Se 0.434 0.797 0.335
N 0.206 0.675 0.912
N 0.794 0.325 0.088

---

VASP calculation (PBE) on a geometry-optimized CrMoPt structure.

Properties
The density comes out at 13.13 g/cm3. The calculation puts the relative energy among the computed polymorphs at 0.26 eV/f.u. As for the formation energy from the elements: 0.046 eV/atom. For the raw total energy, the calculation gives -8.786 eV/atom. As for the space group: No. 187.

Unit cell a=4.327 b=4.327 c=2.676 alpha=90.00 beta=90.00 gamma=120.00
Atoms (fractional coordinates):
Cr 0.000 0.000 0.167
Mo 0.667 0.333 0.166
Pt 0.333 0.667 0.667

---

VASP calculation (PBE) on a geometry-optimized TbLuCu4 structure.

Properties
The density comes out at 9.65 g/cm3. As for the formation energy from the elements: -0.194 eV/atom. For the raw total energy, the calculation gives -4.450 eV/atom. As for the space group: No. 216.

Unit cell a=5.231 b=5.231 c=5.231 alpha=60.00 beta=60.00 gamma=60.00
Atoms (fractional coordinates):
Lu 0.250 0.250 0.250
Tb 0.000 0.000 0.000
Cu 0.624 0.624 0.127
Cu 0.624 0.127 0.624
Cu 0.624 0.624 0.624
Cu 0.127 0.624 0.624

---

VASP calculation (PBE) on a geometry-optimized PuZn17Hg structure.

Properties
The density comes out at 8.23 g/cm3. As for the formation energy from the elements: -0.041 eV/atom. For the raw total energy, the calculation gives -1.951 eV/atom. As for the space group: No. 160.

Unit cell a=6.856 b=6.856 c=6.856 alpha=82.28 beta=82.28 gamma=82.28
Atoms (fractional coordinates):
Pu 0.340 0.340 0.340
Zn 0.311 0.999 0.706
Zn 0.706 0.311 0.999
Zn 0.999 0.706 0.311
Zn 0.311 0.706 0.999
Zn 0.999 0.311 0.706
Zn 0.706 0.999 0.311
Zn 0.349 0.850 0.349
Zn 0.349 0.349 0.850
Zn 0.850 0.349 0.349
Zn 0.654 0.142 0.654
Zn 0.654 0.654 0.142
Zn 0.142 0.654 0.654
Zn 0.015 0.502 0.015
Zn 0.015 0.015 0.502
Zn 0.502 0.015 0.015
Zn 0.903 0.903 0.903
Zn 0.102 0.102 0.102
Hg 0.592 0.592 0.592

---

VASP calculation (PBE) on a geometry-optimized Mn2TcPt2 structure.

Properties
The density comes out at 14.18 g/cm3. The calculation puts the relative energy among the computed polymorphs at 0.78 eV/f.u. As for the formation energy from the elements: 0.224 eV/atom. For the raw total energy, the calculation gives -7.933 eV/atom. As for the space group: No. 127.

Unit cell a=7.273 b=7.273 c=2.649 alpha=90.00 beta=90.00 gamma=90.00
Atoms (fractional coordinates):
Mn 0.169 0.669 0.500
Mn 0.669 0.831 0.500
Mn 0.831 0.331 0.500
Mn 0.331 0.169 0.500
Tc 0.000 0.000 0.000
Tc 0.500 0.500 0.000
Pt 0.370 0.870 0.000
Pt 0.870 0.630 0.000
Pt 0.630 0.130 0.000
Pt 0.130 0.370 0.000